Record 1
Y2Ni2Os after structural relaxation, computed with PBE.

```
Y2Ni2Os
1.0
3.3889 0.0000 0.0000
0.0000 3.3889 0.0000
1.6944 1.6944 8.1934
Y Ni Os
2 2 1
direct
0.3962 0.3962 0.2077 Y
0.6038 0.6038 0.7923 Y
0.7500 0.2500 0.5000 Ni
0.2500 0.7500 0.5000 Ni
0.0000 0.0000 0.0000 Os
```

Properties
Relative energy among the computed polymorphs in eV per atom: 0.119
Space group: I4/mmm
E_form in eV/atom: -0.068



Record 2
HgP2Pb after structural relaxation, computed with PBE.

```
HgP2Pb
1.0
8.1211 -0.0460 0.2646
5.1075 3.3538 0.6422
0.8789 1.3671 4.1531
Hg P Pb
1 2 1
direct
0.7970 0.8584 0.1827 Hg
0.9453 0.0416 0.7179 P
0.6806 0.6464 0.6804 P
0.2760 0.8795 0.1578 Pb
```

Properties
Relative energy among the computed polymorphs in eV per atom: 0.002
Space group: P1
E_form in eV/atom: 0.126



Record 3
GaSi2HS after structural relaxation, computed with PBE.

```
GaSi2HS
1.0
-2.9079 1.1759 2.1954
1.3342 -0.1042 5.1344
1.2586 5.2944 2.1432
Ga Si H S
1 2 1 1
direct
0.4108 0.5892 0.9123 Ga
0.4974 0.8729 0.4586 Si
0.1237 0.8614 0.2155 Si
0.3540 0.1833 0.4395 H
0.0531 0.2908 0.9240 S
```

Properties
Relative energy among the computed polymorphs in eV per atom: 0.110
Space group: P1



Record 4
PaSb3O7 after structural relaxation, computed with PBE.

```
PaSb3O7
1.0
5.1980 0.1557 2.0763
-0.3094 5.1911 2.0763
0.2539 0.2777 6.7195
Pa Sb O
1 3 7
direct
0.0223 0.0223 0.9954 Pa
0.8054 0.2703 0.5006 Sb
0.4887 0.4887 0.9678 Sb
0.2703 0.8054 0.5006 Sb
0.9353 0.9353 0.7304 O
0.8497 0.3956 0.7466 O
0.6317 0.0260 0.2278 O
0.3956 0.8497 0.7466 O
0.3323 0.3323 0.8245 O
0.0260 0.6317 0.2278 O
0.1177 0.1177 0.2821 O
```

Properties
Formation energy (no corrections) in eV per formula unit: -21.31
Space group: Cm



Record 5
Y2ZnGePt6 after structural relaxation, computed with PBE.

```
Y2ZnGePt6
1.0
-4.2542 -2.0497 -2.9518
4.5919 -6.6774 -1.9814
-0.0575 -8.3201 0.6061
Y Zn Ge Pt
2 1 1 6
direct
0.7021 0.2979 0.5958 Y
0.2979 0.7021 0.4042 Y
0.0000 0.0000 0.0000 Zn
0.5000 0.5000 0.0000 Ge
0.2497 0.2450 0.5005 Pt
0.7549 0.7502 0.9954 Pt
0.2497 0.7502 0.9954 Pt
0.7503 0.2498 0.0046 Pt
0.2451 0.2498 0.0046 Pt
0.7503 0.7550 0.4995 Pt
```

Properties
Space group: R-3m
E_form in eV/atom: -0.778



Record 6
In2Au2Cl after structural relaxation, computed with PBE.

```
In2Au2Cl
1.0
-2.0930 -6.5195 4.4090
3.7906 -4.8333 -5.3474
2.9397 0.2889 1.8227
Cl Au In
2 4 4
direct
0.0000 0.0000 0.0000 Cl
0.5000 0.5000 0.0000 Cl
0.1187 0.6187 0.5000 Au
0.6187 0.8813 0.5000 Au
0.8813 0.3813 0.5000 Au
0.3813 0.1187 0.5000 Au
0.3141 0.8141 0.0000 In
0.8141 0.6859 0.0000 In
0.6859 0.1859 0.0000 In
0.1859 0.3141 0.0000 In
```

Properties
Relative energy among the computed polymorphs in eV per atom: 0.000
Formation energy (no corrections) in eV per formula unit: -1.41
Space group: P4/mbm



Record 7
Li5Pb3I12 after structural relaxation, computed with PBE.

```
Li5Pb3I12
1.0
-9.8045 -1.9535 11.9213
-5.8995 -6.7349 -12.7239
13.7047 -6.5147 3.4354
Pb Li I
12 20 48
direct
0.7500 0.3750 0.1250 Pb
0.8750 0.7500 0.1250 Pb
0.3750 0.7500 0.6250 Pb
0.2500 0.1250 0.3750 Pb
0.8750 0.1250 0.2500 Pb
0.3750 0.6250 0.2500 Pb
0.6250 0.3750 0.7500 Pb
0.1250 0.8750 0.7500 Pb
0.7500 0.8750 0.6250 Pb
0.6250 0.2500 0.3750 Pb
0.1250 0.2500 0.8750 Pb
0.2500 0.6250 0.8750 Pb
0.1250 0.3750 0.2500 Li
0.0000 0.5000 0.0000 Li
0.0000 0.0000 0.0000 Li
0.3750 0.2500 0.1250 Li
0.5000 0.0000 0.5000 Li
0.5000 0.5000 0.0000 Li
0.1250 0.7500 0.3750 Li
0.7500 0.1250 0.8750 Li
0.7500 0.6250 0.3750 Li
0.3750 0.1250 0.7500 Li
0.6250 0.8750 0.2500 Li
0.5000 0.5000 0.5000 Li
0.5000 0.0000 0.0000 Li
0.0000 0.0000 0.5000 Li
0.2500 0.3750 0.6250 Li
0.2500 0.8750 0.1250 Li
0.0000 0.5000 0.5000 Li
0.8750 0.2500 0.6250 Li
0.6250 0.7500 0.8750 Li
0.8750 0.6250 0.7500 Li
0.7134 0.1222 0.0330 I
0.3196 0.5330 0.4107 I
0.9670 0.3778 0.2866 I
0.5330 0.2134 0.1222 I
0.5912 0.7134 0.6804 I
0.9670 0.5893 0.1804 I
0.3196 0.7866 0.4088 I
0.0893 0.9088 0.1222 I
0.5893 0.9670 0.6804 I
0.7134 0.5912 0.1804 I
0.7866 0.4670 0.3778 I
0.8196 0.9107 0.0330 I
0.1222 0.7134 0.5330 I
0.3778 0.4107 0.0912 I
0.0912 0.9107 0.3778 I
0.4088 0.1222 0.5893 I
0.0912 0.1804 0.2134 I
0.4670 0.6804 0.0893 I
0.8196 0.9088 0.2866 I
0.1222 0.4088 0.0893 I
0.3778 0.9670 0.7866 I
0.5893 0.6222 0.4088 I
0.9107 0.8196 0.5330 I
0.7866 0.3196 0.9088 I
0.4107 0.3778 0.5912 I
0.0893 0.1804 0.4670 I
0.2134 0.6804 0.0912 I
0.1804 0.0912 0.7134 I
0.6222 0.0330 0.2134 I
0.8778 0.5912 0.9107 I
0.5330 0.3196 0.9107 I
0.5912 0.8778 0.4107 I
0.9088 0.8196 0.7866 I
0.9088 0.0893 0.6222 I
0.8778 0.2866 0.4670 I
0.1804 0.0893 0.9670 I
0.6222 0.5893 0.9088 I
0.4107 0.0330 0.3196 I
0.2866 0.4088 0.8196 I
0.2134 0.5330 0.6222 I
0.9107 0.0912 0.8778 I
0.6804 0.2134 0.5912 I
0.4670 0.7866 0.8778 I
0.0330 0.4107 0.8196 I
0.4088 0.2866 0.3196 I
0.0330 0.6222 0.7134 I
0.6804 0.4670 0.5893 I
0.2866 0.8778 0.9670 I
```

Properties
Formation energy (no corrections) in eV per formula unit: -15.89
Space group: Ia-3d



Record 8
Cu2SBr after structural relaxation, computed with PBE.

```
Cu2SBr
1.0
-0.1679 -1.1491 -3.5961
3.5874 -6.4140 1.8156
-5.0497 -2.5307 1.0415
Cu S Br
4 2 2
direct
0.7823 0.8917 0.9308 Cu
0.2824 0.6406 0.5246 Cu
0.7820 0.3917 0.9307 Cu
0.2821 0.1406 0.5246 Cu
0.7819 0.1416 0.7281 S
0.7823 0.6416 0.7281 S
0.2822 0.8910 0.2280 Br
0.2820 0.3911 0.2280 Br
```

Properties
Relative energy among the computed polymorphs in eV per atom: 0.003
Formation energy (no corrections) in eV per formula unit: -1.00
Space group: P1